Computed, not measured: a relaxed LiPr2GaPd6 crystal at the PBE-GGA level of DFT.

Unit cell a=6.5788 b=6.5872 c=8.3857 alpha=50.23 beta=50.61 gamma=80.40
Sites, in units of the cell vectors:
Li (0.0000, 0.0000, 0.0000)
Pr (0.2528, 0.7484, 0.4738)
Pr (0.7472, 0.2516, 0.5262)
Ga (0.5000, 0.5000, 0.0000)
Pd (0.2474, 0.7512, 0.8380)
Pd (0.7342, 0.7725, 0.9948)
Pd (0.2278, 0.2666, 0.5001)
Pd (0.7526, 0.2488, 0.1620)
Pd (0.2658, 0.2275, 0.0052)
Pd (0.7722, 0.7334, 0.4999)

Values from the calculation:
**Symmetry**: P-1, No. 2
**ΔE_f**: -0.6085 eV per atom
**D(E_F)**: 0.303 states/eV/atom